# NiClF3 PBE+U relaxed
data_NiClF3
_space_group_name_H-M_alt 'P m -3 m'
_space_group_IT_number 221
_space_group_name_Hall '-P 4 2 3'
_cell_length_a 4.320
_cell_length_b 4.320
_cell_length_c 4.320
_cell_angle_alpha 90.00
_cell_angle_beta 90.00
_cell_angle_gamma 90.00
loop_
_atom_site_label
_atom_site_fract_x
_atom_site_fract_y
_atom_site_fract_z
Ni1 0.000 0.000 0.000
Cl1 0.500 0.500 0.500
F1 0.000 0.500 0.500
# Final energy: -8.81 eV per formula unit